# 1
Sc2TlO2 at its PBEsol-relaxed geometry, computed with SCAN. Values from VASP.

Calculated values
Energy relative to the elements, uncorrected, kcal/mol of atoms: -60.375
D(E_F), states/eV/f.u.: 1.60
Raw total energy, eV per atom: -25.28

Geometry as Quantum ESPRESSO input:
```
&SYSTEM
  ibrav = 0, nat = 10, ntyp = 3
/
ATOMIC_SPECIES
Sc 44.96 Sc.upf
Tl 204.38 Tl.upf
O 16.00 O.upf
ATOMIC_POSITIONS angstrom
Sc 0.0000 0.0000 2.3478
Sc 0.0000 0.0000 11.0557
Sc 1.7882 1.7882 4.3539
Sc 1.7882 1.7882 9.0496
Tl 0.0000 0.0000 6.7017
Tl 1.7882 1.7882 0.0000
O 0.0000 1.7882 3.3509
O 0.0000 1.7882 10.0526
O 1.7882 0.0000 3.3509
O 1.7882 0.0000 10.0526
CELL_PARAMETERS angstrom
3.5764 0.0000 0.0000
0.0000 3.5764 0.0000
0.0000 0.0000 13.4035
```

# 2
YScCu4 at its PBEsol-relaxed geometry, computed with SCAN. Values from VASP.

Calculated values
D(E_F), states/eV/f.u.: 4.64
Raw total energy, eV per atom: -17.37
Formation enthalpy at 0 K, eV per atom: -0.23

Geometry as Quantum ESPRESSO input:
```
&SYSTEM
  ibrav = 0, nat = 6, ntyp = 3
/
ATOMIC_SPECIES
Y 88.91 Y.upf
Sc 44.96 Sc.upf
Cu 63.55 Cu.upf
ATOMIC_POSITIONS angstrom
Y 0.0000 0.0000 0.0000
Sc 5.3790 5.3790 5.3790
Cu 2.6954 2.6954 2.6954
Cu 4.4766 4.4766 2.6954
Cu 4.4766 2.6954 4.4766
Cu 2.6954 4.4766 4.4766
CELL_PARAMETERS angstrom
0.0000 3.5860 3.5860
3.5860 0.0000 3.5860
3.5860 3.5860 0.0000
```

# 3
LaTa at its PBEsol-relaxed geometry, computed with SCAN. Values from VASP.

Calculated values
D(E_F), states/eV/f.u.: 2.57
Raw total energy, eV per atom: -54.53
Formation enthalpy at 0 K, eV per atom: 0.31

Geometry as Quantum ESPRESSO input:
```
&SYSTEM
  ibrav = 0, nat = 4, ntyp = 2
/
ATOMIC_SPECIES
La 138.91 La.upf
Ta 180.95 Ta.upf
ATOMIC_POSITIONS angstrom
La 0.8776 0.8776 1.2212
La 2.6329 2.6329 6.6782
Ta 0.8776 0.8776 4.5646
Ta 2.6329 2.6329 3.3348
CELL_PARAMETERS angstrom
3.5106 0.0000 0.0000
0.0000 3.5106 0.0000
0.0000 0.0000 7.8994
```

# 4
SrReI2N at its PBEsol-relaxed geometry, computed with SCAN. Values from VASP.

Calculated values
Energy relative to the elements, uncorrected, kcal/mol of atoms: -4.907
D(E_F), states/eV/f.u.: 2.60
Raw total energy, eV per atom: -35.44

Geometry as Quantum ESPRESSO input:
```
&SYSTEM
  ibrav = 0, nat = 5, ntyp = 4
/
ATOMIC_SPECIES
Sr 87.62 Sr.upf
Re 186.21 Re.upf
I 126.90 I.upf
N 14.01 N.upf
ATOMIC_POSITIONS angstrom
Sr 0.0000 0.0000 0.0000
Re 2.8096 2.8096 1.9186
I 0.0000 2.8096 1.9186
I 2.8096 0.0000 1.9186
N 2.8096 2.8096 0.0000
CELL_PARAMETERS angstrom
5.6193 0.0000 0.0000
0.0000 5.6193 0.0000
0.0000 0.0000 3.8372
```

What did the second record say?
YScCu4 at its PBEsol-relaxed geometry, computed with SCAN. Values from VASP.

Calculated values
D(E_F), states/eV/f.u.: 4.64
Raw total energy, eV per atom: -17.37
Formation enthalpy at 0 K, eV per atom: -0.23

Geometry as Quantum ESPRESSO input:
```
&SYSTEM
  ibrav = 0, nat = 6, ntyp = 3
/
ATOMIC_SPECIES
Y 88.91 Y.upf
Sc 44.96 Sc.upf
Cu 63.55 Cu.upf
ATOMIC_POSITIONS angstrom
Y 0.0000 0.0000 0.0000
Sc 5.3790 5.3790 5.3790
Cu 2.6954 2.6954 2.6954
Cu 4.4766 4.4766 2.6954
Cu 4.4766 2.6954 4.4766
Cu 2.6954 4.4766 4.4766
CELL_PARAMETERS angstrom
0.0000 3.5860 3.5860
3.5860 0.0000 3.5860
3.5860 3.5860 0.0000
```

> Which of these has the lowest raw total energy?

LaTa

> Number 3 is which compound?

LaTa

Repeat the first record exactly.
Sc2TlO2 at its PBEsol-relaxed geometry, computed with SCAN. Values from VASP.

Calculated values
Energy relative to the elements, uncorrected, kcal/mol of atoms: -60.375
D(E_F), states/eV/f.u.: 1.60
Raw total energy, eV per atom: -25.28

Geometry as Quantum ESPRESSO input:
```
&SYSTEM
  ibrav = 0, nat = 10, ntyp = 3
/
ATOMIC_SPECIES
Sc 44.96 Sc.upf
Tl 204.38 Tl.upf
O 16.00 O.upf
ATOMIC_POSITIONS angstrom
Sc 0.0000 0.0000 2.3478
Sc 0.0000 0.0000 11.0557
Sc 1.7882 1.7882 4.3539
Sc 1.7882 1.7882 9.0496
Tl 0.0000 0.0000 6.7017
Tl 1.7882 1.7882 0.0000
O 0.0000 1.7882 3.3509
O 0.0000 1.7882 10.0526
O 1.7882 0.0000 3.3509
O 1.7882 0.0000 10.0526
CELL_PARAMETERS angstrom
3.5764 0.0000 0.0000
0.0000 3.5764 0.0000
0.0000 0.0000 13.4035
```